1.
First-principles (PBE) data for Dy2HoMg after structural relaxation, as listed in Alexandria via LeMat-Bulk.

```
data_Dy2HoMg
_symmetry_space_group_name_H-M 'F m -3 m'
_symmetry_Int_Tables_number 225
_symmetry_space_group_name_Hall '-F 4 2 3'
_cell_length_a 7.7552
_cell_length_b 7.7552
_cell_length_c 7.7552
_cell_angle_alpha 90.00
_cell_angle_beta 90.00
_cell_angle_gamma 90.00
loop_
_atom_site_label
_atom_site_fract_x
_atom_site_fract_y
_atom_site_fract_z
_atom_site_occupancy
Dy1 0.2500 0.2500 0.2500 1
Ho1 0.0000 0.0000 0.0000 1
Mg1 0.0000 0.0000 0.5000 1
```

## Properties
Uncorrected energy (eV per atom): -3.79

=====

2.
First-principles (PBE) data for Li2CoCu after structural relaxation, as listed in Alexandria via LeMat-Bulk.

```
data_Li2CoCu
_symmetry_space_group_name_H-M 'P m m m'
_symmetry_Int_Tables_number 47
_cell_length_a 2.4272
_cell_length_b 4.0225
_cell_length_c 5.0368
_cell_angle_alpha 90.00
_cell_angle_beta 90.00
_cell_angle_gamma 90.00
loop_
_symmetry_equiv_pos_as_xyz
'x,y,z'
'-x,-y,-z'
'-x,-y,z'
'x,y,-z'
'x,-y,-z'
'-x,y,z'
'-x,y,-z'
'x,-y,z'
loop_
_atom_site_label
_atom_site_fract_x
_atom_site_fract_y
_atom_site_fract_z
_atom_site_occupancy
Li1 0.0000 0.0000 0.2446 1
Co1 0.5000 0.5000 0.0000 1
Cu1 0.5000 0.5000 0.5000 1
```

## Properties
Uncorrected energy (eV per atom): -3.60

=====

3.
First-principles (PBE) data for Rb2SbBr6 after structural relaxation, as listed in Alexandria via LeMat-Bulk.

```
data_Rb2SbBr6
_symmetry_space_group_name_H-M 'P 42/m n m'
_symmetry_Int_Tables_number 136
_symmetry_space_group_name_Hall '-P 4n 2n'
_cell_length_a 7.5105
_cell_length_b 7.5105
_cell_length_c 14.6126
_cell_angle_alpha 90.00
_cell_angle_beta 90.00
_cell_angle_gamma 90.00
loop_
_atom_site_label
_atom_site_fract_x
_atom_site_fract_y
_atom_site_fract_z
_atom_site_occupancy
Rb1 0.0000 0.0000 0.1660 1
Sb1 0.0000 0.0000 0.5000 1
Br1 0.1777 0.1777 0.3657 1
Br2 0.2439 0.2439 0.0000 1
```

## Properties
E_form (uncorrected) (eV/atom): -1.022